Entry 1:
CsReAg3O4 | PBE-GGA | relaxed

M_tot (μB/f.u.): 1.85
Raw total energy (eV/atom): -5.092

a = 5.8387 Å, b = 5.8387 Å, c = 5.8387 Å
α = 90.00°, β = 90.00°, γ = 90.00°
With the nearest neighbours (Å) after each atom.
Element x y z (fractional)
Cs1 0.0000 0.0000 0.0000  4 O 3.15
O1 0.6888 0.3112 0.6888  1 Re 1.91
O2 0.6888 0.6888 0.3112  1 Re 1.91
O3 0.3112 0.3112 0.3112  1 Re 1.91
O4 0.3112 0.6888 0.6888  1 Re 1.91
Ag1 0.5000 0.5000 0.0000  4 O 2.39
Ag2 0.5000 0.0000 0.5000  4 O 2.39
Ag3 0.0000 0.5000 0.5000  4 O 2.39
Re1 0.5000 0.5000 0.5000  4 O 1.91

Entry 2:
Cs5Si3AgO9 | PBE-GGA | relaxed

Raw total energy (eV/atom): -5.936

a = 6.4864 Å, b = 9.6491 Å, c = 11.6033 Å
α = 93.93°, β = 90.00°, γ = 90.00°
With the nearest neighbours (Å) after each atom.
Element x y z (fractional)
O1 0.5403 0.7544 0.5120  1 Si 1.61
O2 0.9623 0.9531 0.1689  1 Si 1.64
O3 0.4593 0.5269 0.8285  1 Si 1.61
O4 0.5407 0.4731 0.1715  1 Si 1.61
O5 0.2500 0.2888 0.8547  2 Si 1.66-1.71
O6 0.2500 0.4025 0.6498  2 Si 1.68-1.69
O7 0.4597 0.2456 0.4880  1 Si 1.61
O8 0.7500 0.7112 0.1453  2 Si 1.66-1.71
O9 0.9597 0.7544 0.5120  1 Si 1.61
O10 0.0377 0.0469 0.8311  1 Si 1.64
O11 0.9593 0.4731 0.1715  1 Si 1.61
O12 0.7500 0.5975 0.3502  2 Si 1.68-1.69
O13 0.4623 0.0469 0.8311  1 Si 1.64
O14 0.0407 0.5269 0.8285  1 Si 1.61
O15 0.2500 0.1262 0.6546  2 Si 1.65-1.70
O16 0.5377 0.9531 0.1689  1 Si 1.64
O17 0.7500 0.8738 0.3454  2 Si 1.65-1.70
O18 0.0403 0.2456 0.4880  1 Si 1.61
Cs1 0.7500 0.3375 0.9377  4 O 2.97-3.23
Cs2 0.2500 0.2657 0.1452  2 O 2.75
Cs3 0.2500 0.7756 0.6903  2 O 2.79
Cs4 0.2500 0.5374 0.3951  9 O 3.06-3.37
Cs5 0.7500 0.4626 0.6049  9 O 3.06-3.37
Cs6 0.2500 0.9518 0.3843  9 O 3.12-3.46, 1 Si 3.47
Cs7 0.7500 0.2244 0.3097  2 O 2.79
Cs8 0.2500 0.6626 0.0623  4 O 2.97-3.23
Cs9 0.7500 0.0482 0.6157  9 O 3.12-3.46, 1 Si 3.47
Cs10 0.7500 0.7343 0.8548  2 O 2.75
Si1 0.2500 0.1262 0.7970  4 O 1.64-1.66
Si2 0.7500 0.8738 0.2030  4 O 1.64-1.66
Si3 0.7500 0.5555 0.2069  4 O 1.61-1.71
Si4 0.2500 0.2555 0.5622  4 O 1.61-1.70
Si5 0.2500 0.4445 0.7931  4 O 1.61-1.71
Si6 0.7500 0.7445 0.4378  4 O 1.61-1.70
Ag1 0.5000 0.0000 0.0000  2 O 2.06
Ag2 0.0000 0.0000 0.0000  2 O 2.06

Entry 3:
CsAgSnO3 | PBE-GGA | relaxed

Raw total energy (eV/atom): -4.912

a = 10.4189 Å, b = 3.3027 Å, c = 13.2048 Å
α = 90.00°, β = 90.00°, γ = 90.00°
With the nearest neighbours (Å) after each atom.
Element x y z (fractional)
Cs1 0.3728 0.5000 0.2427  5 O 2.92-3.05
Cs2 0.6272 0.0000 0.7573  5 O 2.92-3.05
Cs3 0.8728 0.0000 0.2573  5 O 2.92-3.05
Cs4 0.1272 0.5000 0.7427  5 O 2.92-3.05
Ag1 0.4090 0.0000 0.9697  2 O 2.16
Ag2 0.5910 0.5000 0.0303  2 O 2.16
Ag3 0.0910 0.0000 0.4697  2 O 2.16
Ag4 0.9090 0.5000 0.5303  2 O 2.16
O1 0.2890 0.5000 0.9233  1 Sn 2.07, 2 Ag 2.16
O2 0.1959 0.0000 0.1076  2 Sn 2.10
O3 0.8041 0.5000 0.8924  2 Sn 2.10
O4 0.7110 0.0000 0.0767  1 Sn 2.07, 2 Ag 2.16
O5 0.0558 0.0000 0.9278  3 Sn 2.09-2.22
O6 0.2110 0.5000 0.4233  1 Sn 2.07, 2 Ag 2.16
O7 0.9442 0.5000 0.0722  3 Sn 2.09-2.22
O8 0.5558 0.5000 0.5722  3 Sn 2.09-2.22
O9 0.3041 0.0000 0.6076  2 Sn 2.10
O10 0.4442 0.0000 0.4278  3 Sn 2.09-2.22
O11 0.6959 0.5000 0.3924  2 Sn 2.10
O12 0.7890 0.0000 0.5767  1 Sn 2.07, 2 Ag 2.16
Sn1 0.6347 0.0000 0.4782  6 O 2.07-2.22
Sn2 0.3653 0.5000 0.5218  6 O 2.07-2.22
Sn3 0.8653 0.0000 0.9782  6 O 2.07-2.22
Sn4 0.1347 0.5000 0.0218  6 O 2.07-2.22

Entry 4:
CsTaAgO3 | PBE-GGA | relaxed

M_tot (μB/f.u.): 0.00
Raw total energy (eV/atom): -6.941

a = 3.2145 Å, b = 10.9352 Å, c = 13.0002 Å
α = 89.99°, β = 90.00°, γ = 90.00°
With the nearest neighbours (Å) after each atom.
Element x y z (fractional)
Ta1 0.2500 0.8694 0.0369  1 O 1.80
Ta2 0.2500 0.6306 0.5368  1 O 1.80
Ta3 0.7500 0.1306 0.9632  1 O 1.80
Ta4 0.7500 0.3694 0.4632  1 O 1.80
O1 0.7500 0.7016 0.4638  2 Ta 2.02, 1 Ag 2.25
O2 0.2500 0.2016 0.0361  2 Ta 2.02, 1 Ag 2.25
O3 0.2500 0.0142 0.9202  3 Ta 2.12-2.19
O4 0.2500 0.2984 0.5361  2 Ta 2.02, 1 Ag 2.25
O5 0.2500 0.7047 0.6604  1 Ta 1.80
O6 0.7500 0.5141 0.5798  3 Ta 2.13-2.19
O7 0.7500 0.2047 0.8397  1 Ta 1.80
O8 0.7500 0.2954 0.3396  1 Ta 1.80
O9 0.7500 0.7984 0.9639  2 Ta 2.02, 1 Ag 2.25
O10 0.7500 0.9859 0.0798  3 Ta 2.13-2.19
O11 0.2500 0.7952 0.1604  1 Ta 1.80
O12 0.2500 0.4858 0.4202  3 Ta 2.12-2.19
Ag1 0.2500 0.0927 0.5255  1 O 2.25
Ag2 0.2500 0.4073 0.0255  1 O 2.25
Ag3 0.7500 0.9073 0.4744  1 O 2.25
Ag4 0.7500 0.5927 0.9745  1 O 2.25
Cs1 0.7500 0.9035 0.7403  5 O 2.90-3.12, 2 Cs 3.21
Cs2 0.7500 0.5964 0.2404  5 O 2.90-3.12, 2 Cs 3.21
Cs3 0.2500 0.4036 0.7596  5 O 2.90-3.12, 2 Cs 3.21
Cs4 0.2500 0.0965 0.2596  5 O 2.90-3.12, 2 Cs 3.21

Entry 5:
CsTcAgO3 | PBE-GGA | relaxed

M_tot (μB/f.u.): 0.02
Raw total energy (eV/atom): -5.830

a = 10.9872 Å, b = 3.2158 Å, c = 12.4298 Å
α = 90.00°, β = 90.00°, γ = 90.00°
With the nearest neighbours (Å) after each atom.
Element x y z (fractional)
Cs1 0.1383 0.5000 0.7429  5 O 2.88-3.20, 2 Cs 3.22
Cs2 0.8617 0.0000 0.2571  5 O 2.88-3.20, 2 Cs 3.22
Cs3 0.6383 0.0000 0.7571  5 O 2.88-3.20, 2 Cs 3.22
Cs4 0.3617 0.5000 0.2429  5 O 2.88-3.20, 2 Cs 3.22
O1 0.2383 0.5000 0.4469  1 Tc 1.82
O2 0.1464 0.0000 0.1268  2 Tc 2.02
O3 0.4422 0.0000 0.4405  3 Tc 2.05-2.10
O4 0.5578 0.5000 0.5595  3 Tc 2.05-2.10
O5 0.3536 0.0000 0.6268  2 Tc 2.02
O6 0.2617 0.5000 0.9469  1 Tc 1.82
O7 0.0578 0.0000 0.9405  3 Tc 2.05-2.10
O8 0.8536 0.5000 0.8732  2 Tc 2.02
O9 0.9422 0.5000 0.0595  3 Tc 2.05-2.10
O10 0.6464 0.5000 0.3732  2 Tc 2.02
O11 0.7617 0.0000 0.5531  1 Tc 1.82
O12 0.7383 0.0000 0.0531  1 Tc 1.82
Tc1 0.6259 0.0000 0.4697  3 O 1.82-2.02
Tc2 0.1259 0.5000 0.0303  3 O 1.82-2.02
Tc3 0.3741 0.5000 0.5303  3 O 1.82-2.02
Tc4 0.8741 0.0000 0.9697  3 O 1.82-2.02
Ag1 0.9086 0.5000 0.5293  2 O 2.30
Ag2 0.4086 0.0000 0.9707  2 O 2.30
Ag3 0.0914 0.0000 0.4707  2 O 2.30
Ag4 0.5914 0.5000 0.0293  2 O 2.30

Entry 6:
Cs2ZrAg2O4 | PBE-GGA | relaxed

M_tot (μB/f.u.): 0.00
Raw total energy (eV/atom): -5.401

a = 6.8556 Å, b = 6.8556 Å, c = 5.7141 Å
α = 90.00°, β = 90.00°, γ = 130.57°
With the nearest neighbours (Å) after each atom.
Element x y z (fractional)
O1 0.8978 0.7038 0.1997  1 Zr 2.02
O2 0.1022 0.2962 0.1997  1 Zr 2.02
O3 0.2962 0.1022 0.8003  1 Zr 2.02
O4 0.7038 0.8978 0.8003  1 Zr 2.02
Zr1 0.0000 0.0000 0.0000  4 O 2.02
Cs1 0.0000 0.5000 0.7366  4 O 3.22-3.27
Cs2 0.5000 0.0000 0.2634  4 O 3.22-3.27
Ag1 0.5000 0.5000 0.0000  4 O 2.40
Ag2 0.0000 0.0000 0.5000  4 O 2.39

Entry 7:
CsAg3OsS4 | PBE-GGA | relaxed

M_tot (μB/f.u.): 0.00
Raw total energy (eV/atom): -4.248

a = 6.4112 Å, b = 6.4112 Å, c = 6.4112 Å
α = 90.00°, β = 90.00°, γ = 90.00°
With the nearest neighbours (Å) after each atom.
Element x y z (fractional)
Ag1 0.5000 0.0000 0.5000  4 S 2.65
Ag2 0.5000 0.5000 0.0000  4 S 2.65
Ag3 0.0000 0.5000 0.5000  4 S 2.65
S1 0.2964 0.2964 0.2964  1 Os 2.26
S2 0.7036 0.7036 0.2964  1 Os 2.26
S3 0.7036 0.2964 0.7036  1 Os 2.26
S4 0.2964 0.7036 0.7036  1 Os 2.26
Cs1 0.0000 0.0000 0.0000  4 S 3.29
Os1 0.5000 0.5000 0.5000  4 S 2.26

Entry 8:
CsAgOsSeS2 | PBE-GGA | relaxed

M_tot (μB/f.u.): 0.01
Raw total energy (eV/atom): -4.623

a = 8.3015 Å, b = 8.3015 Å, c = 9.9474 Å
α = 90.00°, β = 90.00°, γ = 153.86°
With the nearest neighbours (Å) after each atom.
Element x y z (fractional)
Cs1 0.2410 0.7590 0.2500  2 Ag 3.61, 2 Se 3.63, 2 Cs 3.76, 6 S 3.77-3.80
Cs2 0.7590 0.2410 0.7500  2 Ag 3.61, 2 Se 3.63, 2 Cs 3.76, 6 S 3.77-3.80
Se1 0.9329 0.0671 0.2500  2 Ag 2.67, 2 Os 2.71
Se2 0.0671 0.9329 0.7500  2 Ag 2.67, 2 Os 2.71
S1 0.4055 0.5945 0.9812  1 Ag 2.41, 2 Os 2.43
S2 0.4055 0.5945 0.5188  1 Ag 2.41, 2 Os 2.43
S3 0.5945 0.4055 0.4812  1 Ag 2.41, 2 Os 2.43
S4 0.5945 0.4055 0.0188  1 Ag 2.41, 2 Os 2.43
Ag1 0.5500 0.4500 0.2500  2 S 2.41, 2 Se 2.67
Ag2 0.4500 0.5500 0.7500  2 S 2.41, 2 Se 2.67
Os1 0.0000 0.0000 0.0000  4 S 2.43, 2 Se 2.71
Os2 0.0000 0.0000 0.5000  4 S 2.43, 2 Se 2.71

Entry 9:
CsAgTeOsS2 | PBE-GGA | relaxed

M_tot (μB/f.u.): 0.21
Raw total energy (eV/atom): -4.546

a = 8.6867 Å, b = 8.6867 Å, c = 10.2024 Å
α = 90.00°, β = 90.00°, γ = 155.12°
With the nearest neighbours (Å) after each atom.
Element x y z (fractional)
Os1 0.0000 0.0000 0.0000  4 S 2.44
Os2 0.0000 0.0000 0.5000  4 S 2.44
S1 0.5911 0.4089 0.0220  1 Ag 2.41, 2 Os 2.44
S2 0.4089 0.5911 0.9780  1 Ag 2.41, 2 Os 2.44
S3 0.5911 0.4089 0.4780  1 Ag 2.41, 2 Os 2.44
S4 0.4089 0.5911 0.5220  1 Ag 2.41, 2 Os 2.44
Ag1 0.4470 0.5530 0.7500  2 S 2.41
Ag2 0.5530 0.4470 0.2500  2 S 2.41
Te1 0.9277 0.0723 0.2500  2 Os 2.83, 2 Ag 2.83
Te2 0.0723 0.9277 0.7500  2 Os 2.83, 2 Ag 2.83
Cs1 0.7680 0.2320 0.7500  2 Ag 3.57, 2 Cs 3.74, 2 Te 3.81, 4 S 3.82
Cs2 0.2320 0.7680 0.2500  2 Ag 3.57, 2 Cs 3.74, 2 Te 3.81, 4 S 3.82

Entry 10:
CsAg3Te4Os | PBE-GGA | relaxed

M_tot (μB/f.u.): 0.00
Raw total energy (eV/atom): -3.673

a = 6.9696 Å, b = 6.9696 Å, c = 6.9696 Å
α = 90.00°, β = 90.00°, γ = 90.00°
With the nearest neighbours (Å) after each atom.
Element x y z (fractional)
Ag1 0.0000 0.5000 0.5000  4 Te 2.89
Ag2 0.5000 0.5000 0.0000  4 Te 2.89
Ag3 0.5000 0.0000 0.5000  4 Te 2.89
Te1 0.7104 0.2896 0.7104  1 Os 2.54
Te2 0.7104 0.7104 0.2896  1 Os 2.54
Te3 0.2896 0.2896 0.2896  1 Os 2.54
Te4 0.2896 0.7104 0.7104  1 Os 2.54
Os1 0.5000 0.5000 0.5000  4 Te 2.54
Cs1 0.0000 0.0000 0.0000  4 Te 3.50

Entry 11:
CsRb3Ag2P2 | PBE-GGA | relaxed

Raw total energy (eV/atom): -2.826

a = 6.5911 Å, b = 6.2727 Å, c = 6.6306 Å
α = 90.00°, β = 105.87°, γ = 90.00°
With the nearest neighbours (Å) after each atom.
Element x y z (fractional)
P1 0.2659 0.5000 0.2532  2 Ag 2.47
P2 0.7356 0.0000 0.7423  2 Ag 2.47
Rb1 0.9677 0.0000 0.3119  4 P 3.59-3.78, 3 Rb 3.61-3.85, 4 Ag 3.72-3.96, 2 Cs 3.96
Rb2 0.3117 0.0000 0.9714  4 P 3.53-3.70, 1 Rb 3.61, 2 Ag 3.72, 2 Cs 3.85
Rb3 0.6886 0.5000 0.0325  4 P 3.48-3.74, 1 Cs 3.63, 2 Ag 3.76, 2 Rb 3.85
Ag1 0.4982 0.2494 0.4995  2 P 2.47
Ag2 0.4982 0.7506 0.4995  2 P 2.47
Cs1 0.0341 0.5000 0.6897  4 P 3.62-3.77, 5 Rb 3.63-3.96, 4 Ag 3.76-3.94

Entry 12:
CsRbAg2P2 | PBE-GGA | relaxed

Raw total energy (eV/atom): -3.115

a = 4.5412 Å, b = 4.5412 Å, c = 8.2196 Å
α = 90.00°, β = 90.00°, γ = 90.00°
With the nearest neighbours (Å) after each atom.
Element x y z (fractional)
P1 0.5000 0.5000 0.1532  4 Ag 2.61
P2 0.0000 0.0000 0.8361  4 Ag 2.62
Cs1 0.0000 0.0000 0.3467  4 P 3.58, 4 Ag 3.67
Ag1 0.0000 0.5000 0.9963  4 P 2.61-2.62
Ag2 0.5000 0.0000 0.9963  4 P 2.61-2.62
Rb1 0.5000 0.5000 0.6714  4 P 3.48, 4 Ag 3.51